No. 1
# Rb3TlAu3

Crystalline Rb3TlAu3 at its relaxed geometry (PBE, Alexandria via LeMat-Bulk).

Cell lengths 5.024, 6.804, 15.910 Å; angles 87.02, 80.92, 68.33 degrees
Atoms (fractional coordinates):
Tl 0.239 0.932 0.589
Tl 0.761 0.068 0.411
Rb 0.748 0.734 0.770
Rb 0.512 0.347 0.628
Rb 0.604 0.717 0.074
Rb 0.252 0.266 0.230
Rb 0.396 0.283 0.926
Rb 0.488 0.653 0.372
Au 0.102 0.874 0.921
Au 0.898 0.126 0.079
Au 0.121 0.291 0.467
Au 0.879 0.709 0.533
Au 0.948 0.871 0.233
Au 0.052 0.129 0.767

## Properties
mass density	7.00	g/cm3
energy above the lowest structure with this stoichiometry	0	meV/atom
total magnetic moment	0.00	Bohr magnetons per cell
electronic total energy	-2.42	eV per atom
energy relative to the elements	-1.8	eV/f.u.

---

No. 2
# Rb3Tl7Au2

Crystalline Rb3Tl7Au2 at its relaxed geometry (PBE, Alexandria via LeMat-Bulk).

Cell lengths 4.720, 7.011, 15.990 Å; angles 126.34, 90.00, 90.00 degrees
Atoms (fractional coordinates):
Tl 0.000 0.496 0.388
Tl 0.500 0.769 0.804
Tl 0.000 0.000 0.000
Tl 0.000 0.565 0.201
Tl 0.000 0.435 0.799
Tl 0.000 0.504 0.612
Tl 0.500 0.231 0.196
Au 0.000 0.972 0.197
Au 0.000 0.028 0.803
Rb 0.500 0.051 0.387
Rb 0.500 0.500 0.000
Rb 0.500 0.949 0.613

## Properties
mass density	8.11	g/cm3
total magnetic moment	0.00	Bohr magnetons per cell
electronic total energy	-2.26	eV per atom
energy relative to the elements	-1.1	eV/f.u.